Here is a relaxed Mn2CuO4 crystal from Alexandria via LeMat-Bulk. Energies are from PBE with a Hubbard U.

a = 6.0076 Å, b = 6.0076 Å, c = 6.0076 Å
α = 60.64°, β = 60.64°, γ = 60.64°
Positions (direct):
Mn 0.9944 0.9944 0.9944
Mn 0.3754 0.3754 0.8734
Mn 0.8734 0.3754 0.3754
Mn 0.3754 0.8734 0.3754
Cu 0.7536 0.7536 0.7536
Cu 0.3757 0.3757 0.3757
O 0.6195 0.6195 0.6195
O 0.6198 0.1634 0.6198
O 0.1634 0.6198 0.6198
O 0.6198 0.6198 0.1634
O 0.1324 0.1324 0.5829
O 0.1324 0.5829 0.1324
O 0.5829 0.1324 0.1324
O 0.1321 0.1321 0.1321

Values from the calculation:
space-group type = R3m
calculated density = 5.1 g/cm³
E = -95.32 eV for the cell shown
relative energy among the computed polymorphs = 0.026 eV/atom